[1]
{"formula": "LiHf4Zn5", "functional": "PBE", "state": "relaxed", "lattice_angstrom": [[-2.4079, 0.1393, -1.9145], [0.7557, -2.7544, -1.1509], [-10.5012, -8.1518, 12.6140]], "species": ["Zn", "Hf", "Hf", "Zn", "Hf", "Zn", "Hf", "Zn", "Li", "Zn"], "fractional_positions": [[0.5000, 0.5000, 0.9165], [0.0000, 0.0000, 0.3956], [0.0000, 0.0000, 0.1870], [0.5000, 0.5000, 0.0835], [0.0000, 0.0000, 0.8130], [0.5000, 0.5000, 0.5000], [0.0000, 0.0000, 0.6044], [0.5000, 0.5000, 0.2914], [0.0000, 0.0000, 0.0000], [0.5000, 0.5000, 0.7086]], "m_tot_mub_per_fu": 0.0, "density_g_cm3": 10.0, "formation_energy_mev_per_atom": -166.8, "final_energy_ev_per_cell": -49.76}

=====

[2]
{"formula": "LiHfZn4", "functional": "PBE", "state": "relaxed", "lattice_angstrom": [[-3.1490, -2.5519, -3.1707], [1.8630, -2.1754, -4.2754], [0.3065, -5.1246, -0.3560]], "species": ["Zn", "Zn", "Hf", "Zn", "Zn", "Li"], "fractional_positions": [[0.6254, 0.1238, 0.6254], [0.1238, 0.6254, 0.6254], [0.0000, 0.0000, 0.0000], [0.6254, 0.6254, 0.6254], [0.6254, 0.6254, 0.1238], [0.2500, 0.2500, 0.2500]], "m_tot_mub_per_fu": 0.0, "density_g_cm3": 7.7, "formation_energy_mev_per_atom": -91.7, "final_energy_ev_per_cell": -17.51, "polymorph_energy_mev_per_atom": 0}

=====

[3]
{"formula": "LiHf2Zn2", "functional": "PBE", "state": "relaxed", "lattice_angstrom": [[-2.4818, 5.4387, -2.3212], [-1.9075, -3.1192, -5.2687], [-3.7959, -0.9146, 1.9158]], "species": ["Zn", "Zn", "Hf", "Hf", "Li", "Li", "Zn", "Zn", "Hf", "Hf"], "fractional_positions": [[0.1371, 0.3629, 0.0000], [0.8629, 0.6371, 0.0000], [0.1691, 0.6691, 0.5000], [0.6691, 0.8309, 0.5000], [0.5000, 0.5000, 0.0000], [0.0000, 0.0000, 0.0000], [0.6371, 0.1371, 0.0000], [0.3629, 0.8629, 0.0000], [0.8309, 0.3309, 0.5000], [0.3309, 0.1691, 0.5000]], "m_tot_mub_per_fu": 0.0, "density_g_cm3": 9.2, "formation_energy_mev_per_atom": -52.5, "final_energy_ev_per_cell": -49.26, "polymorph_energy_mev_per_atom": 0}

=====

[4]
{"formula": "Li2HfZn2", "functional": "PBE", "state": "relaxed", "lattice_angstrom": [[-0.3046, 7.2781, 2.0726], [-7.5660, -0.2521, -0.2267], [-0.0540, -0.7534, 2.6379]], "species": ["Zn", "Li", "Hf", "Zn", "Hf", "Li", "Zn", "Li", "Li", "Zn"], "fractional_positions": [[0.8162, 0.3162, 0.5000], [0.1165, 0.3835, 0.0000], [0.5000, 0.5000, 0.0000], [0.6838, 0.8162, 0.5000], [0.0000, 0.0000, 0.0000], [0.3835, 0.8835, 0.0000], [0.3162, 0.1838, 0.5000], [0.8835, 0.6165, 0.0000], [0.6165, 0.1165, 0.0000], [0.1838, 0.6838, 0.5000]], "m_tot_mub_per_fu": 0.0, "density_g_cm3": 6.8, "formation_energy_mev_per_atom": -54.0, "final_energy_ev_per_cell": -33.20, "polymorph_energy_mev_per_atom": 0}

=====

[5]
{"formula": "LiHf2Zn", "functional": "PBE", "state": "relaxed", "lattice_angstrom": [[2.9487, 0.0000, 0.0000], [1.4744, 2.5537, 0.0000], [1.4744, 0.8512, 10.8351]], "species": ["Zn", "Li", "Hf", "Hf"], "fractional_positions": [[0.5000, 0.5000, 0.5000], [0.0000, 0.0000, 0.0000], [0.9086, 0.9086, 0.2743], [0.0914, 0.0914, 0.7257]], "m_tot_mub_per_fu": 0.0, "density_g_cm3": 8.7, "formation_energy_mev_per_atom": 229.8, "final_energy_ev_per_cell": -22.18}

=====

[6]
{"formula": "LiHf2Zn12", "functional": "PBE", "state": "relaxed", "lattice_angstrom": [[5.2600, 0.0000, 0.0000], [0.0000, 5.2600, 0.0000], [0.0000, 0.0000, 18.3467]], "species": ["Zn", "Hf", "Zn", "Zn", "Zn", "Zn", "Zn", "Zn", "Zn", "Li", "Zn", "Zn", "Zn", "Hf", "Zn", "Zn", "Zn", "Zn", "Li", "Zn", "Zn", "Zn", "Zn", "Zn", "Zn", "Hf", "Zn", "Hf", "Zn", "Zn"], "fractional_positions": [[0.5000, 0.5000, 0.6533], [0.0000, 0.5000, 0.7190], [0.3261, 0.1739, 0.5628], [0.2515, 0.7515, 0.8826], [0.7485, 0.7515, 0.1174], [0.7515, 0.7485, 0.8826], [0.6739, 0.1739, 0.4372], [0.5000, 0.5000, 0.2149], [0.7485, 0.2485, 0.8826], [0.0000, 0.5000, 0.0000], [0.3261, 0.8261, 0.4372], [0.0000, 0.0000, 0.3467], [0.5000, 0.5000, 0.7851], [0.5000, 0.0000, 0.7190], [0.8261, 0.3261, 0.5628], [0.6739, 0.8261, 0.5628], [0.0000, 0.0000, 0.7851], [0.2485, 0.7485, 0.1174], [0.5000, 0.0000, 0.0000], [0.0000, 0.0000, 0.2149], [0.2515, 0.2485, 0.1174], [0.8261, 0.6739, 0.4372], [0.7515, 0.2515, 0.1174], [0.5000, 0.5000, 0.3467], [0.1739, 0.6739, 0.5628], [0.5000, 0.0000, 0.2810], [0.1739, 0.3261, 0.4372], [0.0000, 0.5000, 0.2810], [0.0000, 0.0000, 0.6533], [0.2485, 0.2515, 0.8826]], "m_tot_mub_per_fu": 0.0, "density_g_cm3": 7.5, "formation_energy_mev_per_atom": 30.5, "final_energy_ev_per_cell": -73.30}

=====

[7]
{"formula": "Li2HfZn3", "functional": "PBE", "state": "relaxed", "lattice_angstrom": [[3.1183, 0.0000, 0.0000], [0.0000, 3.1183, 0.0000], [0.0000, 0.0000, 9.7334]], "species": ["Li", "Zn", "Hf", "Zn", "Zn", "Li"], "fractional_positions": [[0.5000, 0.5000, 0.1551], [0.0000, 0.0000, 0.6933], [0.5000, 0.5000, 0.5000], [0.0000, 0.0000, 0.3067], [0.0000, 0.0000, 0.0000], [0.5000, 0.5000, 0.8449]], "m_tot_mub_per_fu": 0.0, "density_g_cm3": 6.8, "formation_energy_mev_per_atom": -156.0, "final_energy_ev_per_cell": -18.54}

=====

[8]
{"formula": "Li2HfZn2", "functional": "PBE", "state": "relaxed", "lattice_angstrom": [[-1.4882, -0.7421, -3.1950], [-2.4415, -2.0923, 1.6232], [-5.8770, 3.6486, -0.1404]], "species": ["Li", "Zn", "Li", "Hf", "Zn"], "fractional_positions": [[0.2500, 0.7500, 0.5000], [0.3988, 0.3988, 0.2025], [0.7500, 0.2500, 0.5000], [0.0000, 0.0000, 0.0000], [0.6012, 0.6012, 0.7975]], "m_tot_mub_per_fu": 0.0, "density_g_cm3": 6.4, "formation_energy_mev_per_atom": -6.5, "final_energy_ev_per_cell": -16.36, "polymorph_energy_mev_per_atom": 48}